# DyHf2C

Crystalline DyHf2C at its relaxed geometry (GGA-PBE, Alexandria via LeMat-Bulk).

Lattice parameters (Å, degrees): 3.2875 3.2875 26.6492 90.00 90.00 120.00
Closest atoms and distances in Å follow each position.
Space group R-3m (No. 166, hexagonal axes)
Inequivalent atoms, fractional coordinates:
Dy 0.0000 0.0000 0.0000 x3  2 Hf 3.22, 6 Dy 3.29
Hf 0.0000 0.0000 0.1207 x6  3 C 2.26
C 0.0000 0.0000 0.5000 x3  6 Hf 2.26

Results
- Total magnetization: 0.00 μB/f.u.
- Calculated density: 10.6 g/cm3

---

# Dy2HfC

Crystalline Dy2HfC at its relaxed geometry (GGA-PBE, Alexandria via LeMat-Bulk).

Lattice parameters (Å, degrees): 3.4110 3.4110 27.7697 90.00 90.00 120.00
Closest atoms and distances in Å follow each position.
Space group R-3m (No. 166, hexagonal axes)
Inequivalent atoms, fractional coordinates:
Dy 0.0000 0.0000 0.1174 x6  3 C 2.40
Hf 0.0000 0.0000 0.0000 x3  2 Dy 3.26, 6 Hf 3.41
C 0.0000 0.0000 0.5000 x3  6 Dy 2.40

Results
- Total magnetization: 0.00 μB/f.u.
- Calculated density: 9.2 g/cm3

---

# DyHfC2

Crystalline DyHfC2 at its relaxed geometry (GGA-PBE, Alexandria via LeMat-Bulk).

Lattice parameters (Å, degrees): 3.4853 3.4853 16.8455 90.00 90.00 120.00
Closest atoms and distances in Å follow each position.
Space group R3m (No. 160, hexagonal axes)
Inequivalent atoms, fractional coordinates:
Dy 0.0000 0.0000 0.0000 x3  6 C 2.51-2.69
Hf 0.0000 0.0000 0.8244 x3  6 C 2.32-2.33
C 0.0000 0.0000 0.4225 x3  3 Hf 2.32, 1 C 2.33, 3 Dy 2.51
C 0.0000 0.0000 0.5607 x3  1 C 2.33, 3 Hf 2.33

Results
- Total magnetization: 0.00 μB/f.u.
- Calculated density: 10.3 g/cm3

---

# DyHfC2

Crystalline DyHfC2 at its relaxed geometry (GGA-PBE, Alexandria via LeMat-Bulk).

Lattice parameters (Å, degrees): 3.4070 3.4070 17.0407 90.00 90.00 120.00
Closest atoms and distances in Å follow each position.
Space group R-3m (No. 166, hexagonal axes)
Inequivalent atoms, fractional coordinates:
Dy 0.0000 0.0000 0.0000 x3  6 C 2.51
Hf 0.0000 0.0000 0.5000 x3  6 C 2.35
C 0.0000 0.0000 0.2416 x6  3 Hf 2.35, 3 Dy 2.51

Results
- Total magnetization: 0.00 μB/f.u.
- Calculated density: 10.6 g/cm3

---

# Dy2HgC2

Crystalline Dy2HgC2 at its relaxed geometry (GGA-PBE, Alexandria via LeMat-Bulk).

Lattice parameters (Å, degrees): 15.6243 3.9202 6.7850 90.00 114.08 90.00
Closest atoms and distances in Å follow each position.
Space group C2/c (No. 15)
Inequivalent atoms, fractional coordinates:
Dy 0.1536 0.1616 0.1019 x8  3 C 2.31-2.54
Hg 0.0000 0.4084 0.2500 x4  6 Dy 3.10-3.43, 2 C 3.23, 2 Hg 3.47
C 0.2243 0.3743 0.5191 x8  1 C 1.35

Results
- Total magnetization: 0.00 μB/f.u.
- Calculated density: 9.6 g/cm3

---

# Dy2Hg2C

Crystalline Dy2Hg2C at its relaxed geometry (GGA-PBE, Alexandria via LeMat-Bulk).

Lattice parameters (Å, degrees): 3.6149 3.6149 29.9895 90.00 90.00 120.00
Closest atoms and distances in Å follow each position.
Space group R-3m (No. 166, hexagonal axes)
Inequivalent atoms, fractional coordinates:
Dy 0.0000 0.0000 0.1219 x6  3 C 2.48
Hg 0.0000 0.0000 0.3722 x6  3 Hg 3.13, 3 Dy 3.25
C 0.0000 0.0000 0.5000 x3  6 Dy 2.48

Results
- Total magnetization: 0.00 μB/f.u.
- Calculated density: 10.8 g/cm3

---

# Dy3HgC

Crystalline Dy3HgC at its relaxed geometry (GGA-PBE, Alexandria via LeMat-Bulk).

Lattice parameters (Å, degrees): 4.9006 4.9006 4.9006 90.00 90.00 90.00
Closest atoms and distances in Å follow each position.
Space group Pm-3m (No. 221)
Inequivalent atoms, fractional coordinates:
Dy 0.0000 0.0000 0.5000 x3  2 C 2.45
Hg 0.5000 0.5000 0.5000 x1  12 Dy 3.47
C 0.0000 0.0000 0.0000 x1  6 Dy 2.45

Results
- Total magnetization: 0.03 μB/f.u.
- Calculated density: 9.9 g/cm3

---

# Dy4HgC2

Crystalline Dy4HgC2 at its relaxed geometry (GGA-PBE, Alexandria via LeMat-Bulk).

Lattice parameters (Å, degrees): 3.5938 3.5938 42.5337 90.00 90.00 120.00
Closest atoms and distances in Å follow each position.
Space group R-3m (No. 166, hexagonal axes)
Inequivalent atoms, fractional coordinates:
Dy 0.0000 0.0000 0.1239 x6  3 C 2.45
Dy 0.0000 0.0000 0.2730 x6  3 C 2.50
Hg 0.0000 0.0000 0.0000 x3  6 Dy 3.30, 6 Hg 3.59
C 0.0000 0.0000 0.4266 x6  6 Dy 2.45-2.50

Results
- Total magnetization: 0.83 μB/f.u.
- Calculated density: 9.2 g/cm3

---

# Dy6Hg2C

Crystalline Dy6Hg2C at its relaxed geometry (GGA-PBE, Alexandria via LeMat-Bulk).

Lattice parameters (Å, degrees): 6.9252 6.9259 11.9724 90.00 125.32 90.00
Closest atoms and distances in Å follow each position.
Space group P2_1/c (No. 14)
Inequivalent atoms, fractional coordinates:
Dy 0.1610 0.0027 0.2435 x4  1 C 2.45
Dy 0.2807 0.7495 0.0429 x4  1 C 2.43
Dy 0.2921 0.2399 0.0431 x4  1 C 2.43
Hg 0.2592 0.0068 0.7487 x4  5 Dy 2.97-3.17
C 0.0000 0.0000 0.0000 x2  6 Dy 2.43-2.45

Results
- Total magnetization: 0.00 μB/f.u.
- Calculated density: 9.8 g/cm3

---

# Dy8HgC4

Crystalline Dy8HgC4 at its relaxed geometry (GGA-PBE, Alexandria via LeMat-Bulk).

Lattice parameters (Å, degrees): 17.5888 3.6391 12.2368 90.00 133.38 90.00
Closest atoms and distances in Å follow each position.
Space group C2/m (No. 12)
Inequivalent atoms, fractional coordinates:
Dy 0.0436 0.0000 0.2189 x4  3 C 2.48-2.51
Dy 0.1445 0.5000 0.1009 x4  3 C 2.48-2.50
Dy 0.1561 0.5000 0.8359 x4  3 C 2.44-2.49
Dy 0.1919 0.5000 0.5494 x4  3 C 2.45-2.51
Hg 0.0000 0.0000 0.5000 x2  8 Dy 3.50, 2 Hg 3.64
C 0.1529 0.0000 0.9717 x4  6 Dy 2.44-2.51
C 0.1741 0.5000 0.3323 x4  6 Dy 2.45-2.51

Results
- Total magnetization: 0.00 μB/f.u.
- Calculated density: 9.0 g/cm3

---

# Dy12Hg3C5

Crystalline Dy12Hg3C5 at its relaxed geometry (GGA-PBE, Alexandria via LeMat-Bulk).

Lattice parameters (Å, degrees): 15.8129 15.8129 15.8129 90.00 90.00 90.00
Closest atoms and distances in Å follow each position.
Space group Ia-3d (No. 230)
Inequivalent atoms, fractional coordinates:
Dy 0.0349 0.0527 0.6484 x96  2 C 2.30-2.55
Hg 0.0000 0.2500 0.1250 x24  8 Dy 3.11-3.19
C 0.0000 0.0000 0.0000 x16  6 Dy 2.55
C 0.0000 0.2500 0.3750 x24  4 Dy 2.30

Results
- Total magnetization: 0.00 μB/f.u.
- Calculated density: 8.8 g/cm3

---

# Dy4HgC

Crystalline Dy4HgC at its relaxed geometry (GGA-PBE, Alexandria via LeMat-Bulk).

Lattice parameters (Å, degrees): 8.3870 13.9247 6.1840 90.00 119.60 90.00
Closest atoms and distances in Å follow each position.
Space group C2/c (No. 15)
Inequivalent atoms, fractional coordinates:
Dy 0.1360 0.2003 0.1420 x8  1 C 2.40
Dy 0.2133 0.0490 0.6869 x8  2 C 2.41-2.61
Hg 0.0000 0.3836 0.7500 x4  8 Dy 3.02-3.31
C 0.0000 0.0705 0.2500 x4  6 Dy 2.40-2.61

Results
- Total magnetization: 0.00 μB/f.u.
- Calculated density: 9.1 g/cm3

---

Number 1: raw total energy -8.73 eV per atom, V 249.43 Å³ per cell, formation energy from the elements -0.292 eV per atom. Number 2: raw total energy -6.93 eV per atom, V 279.82 Å³ per cell, formation energy from the elements 0.165 eV per atom. Number 3: raw total energy -8.37 eV per atom, V 177.21 Å³ per cell, formation energy from the elements -0.118 eV per atom. Number 4: raw total energy -8.70 eV per atom, V 171.30 Å³ per cell, formation energy from the elements -0.447 eV per atom. Number 5: raw total energy -5.95 eV per atom, V 379.41 Å³ per cell, formation energy from the elements -0.362 eV per atom. Number 6: raw total energy -4.16 eV per atom, V 339.38 Å³ per cell, formation energy from the elements -0.352 eV per atom. Number 7: raw total energy -5.03 eV per atom, V 117.69 Å³ per cell, formation energy from the elements -0.366 eV per atom. Number 8: raw total energy -5.64 eV per atom, V 475.74 Å³ per cell, formation energy from the elements -0.330 eV per atom. Number 9: raw total energy -4.52 eV per atom, V 468.53 Å³ per cell, formation energy from the elements -0.362 eV per atom. Number 10: raw total energy -5.97 eV per atom, V 569.29 Å³ per cell, formation energy from the elements -0.273 eV per atom. Number 11: raw total energy -5.28 eV per atom, V 3954.01 Å³ per cell, formation energy from the elements -0.169 eV per atom. Number 12: raw total energy -4.86 eV per atom, V 627.93 Å³ per cell, formation energy from the elements -0.201 eV per atom.